1.
{
  "formula": "HfThPb2",
  "functional": "GGA-PBE",
  "state": "relaxed",
  "formation_enthalpy_0k_kj_per_mol_fu": -20,
  "e_tot_ha_per_atom": -0.2296,
  "lattice_angstrom": [[4.014, 0.000, 0.000], [0.000, 4.014, 0.000], [0.000, 0.000, 6.691]],
  "species": ["Hf", "Th", "Pb", "Pb"],
  "fractional_positions": [[0.000, 0.000, 0.000], [0.000, 0.000, 0.500], [0.500, 0.500, 0.228], [0.500, 0.500, 0.772]]
}



2.
{
  "formula": "In2HO",
  "functional": "GGA-PBE",
  "state": "relaxed",
  "e_tot_ha_per_atom": -0.1234,
  "lattice_angstrom": [[0.000, 3.119, 3.119], [3.119, 0.000, 3.119], [3.119, 3.119, 0.000]],
  "species": ["In", "In", "H", "O"],
  "fractional_positions": [[0.250, 0.250, 0.250], [0.750, 0.750, 0.750], [0.000, 0.000, 0.000], [0.500, 0.500, 0.500]]
}



3.
{
  "formula": "NpCo2Ge2As",
  "functional": "GGA-PBE",
  "state": "relaxed",
  "formation_enthalpy_0k_kj_per_mol_fu": 12,
  "e_tot_ha_per_atom": -0.2506,
  "lattice_angstrom": [[4.342, 0.000, 0.000], [0.000, 4.342, 0.000], [0.000, 0.000, 5.506]],
  "species": ["Np", "Co", "Co", "Ge", "Ge", "As"],
  "fractional_positions": [[0.000, 0.000, 0.000], [0.000, 0.500, 0.500], [0.500, 0.000, 0.500], [0.500, 0.500, 0.235], [0.500, 0.500, 0.765], [0.000, 0.000, 0.500]]
}



4.
{
  "formula": "CaHo2Sn",
  "functional": "GGA-PBE",
  "state": "relaxed",
  "formation_enthalpy_0k_kj_per_mol_fu": -133,
  "e_tot_ha_per_atom": -0.1520,
  "lattice_angstrom": [[4.887, 0.000, 0.000], [0.000, 4.887, 0.000], [0.000, 0.000, 4.779]],
  "species": ["Ca", "Ho", "Ho", "Sn"],
  "fractional_positions": [[0.000, 0.000, 0.000], [0.000, 0.500, 0.500], [0.500, 0.000, 0.500], [0.500, 0.500, 0.000]]
}



5.
{
  "formula": "Pa2SI",
  "functional": "GGA-PBE",
  "state": "relaxed",
  "e_form_raw_ev_per_atom": -0.8128,
  "e_tot_ha_per_atom": -0.2565,
  "lattice_angstrom": [[1.822, 1.052, 8.534], [-1.822, 1.052, 8.534], [0.000, -2.104, 8.534]],
  "species": ["Pa", "Pa", "S", "I"],
  "fractional_positions": [[0.235, 0.235, 0.235], [0.765, 0.765, 0.765], [0.500, 0.500, 0.500], [0.000, 0.000, 0.000]]
}



6.
{
  "formula": "Pr4Nd5Th2",
  "functional": "GGA-PBE",
  "state": "relaxed",
  "formation_enthalpy_0k_kj_per_mol_fu": 139,
  "e_tot_ha_per_atom": -0.1883,
  "lattice_angstrom": [[9.127, 0.000, 0.000], [0.000, 3.541, 0.000], [-0.877, 0.000, 12.066]],
  "species": ["Pr", "Pr", "Pr", "Pr", "Nd", "Nd", "Nd", "Nd", "Nd", "Th", "Th"],
  "fractional_positions": [[0.155, 0.000, 0.396], [0.304, 0.000, 0.952], [0.696, 0.000, 0.048], [0.845, 0.000, 0.604], [0.197, 0.500, 0.671], [0.418, 0.500, 0.214], [0.500, 0.500, 0.500], [0.582, 0.500, 0.786], [0.803, 0.500, 0.329], [0.047, 0.500, 0.129], [0.953, 0.500, 0.871]]
}



7.
{
  "formula": "Mg3SO9",
  "functional": "GGA-PBE",
  "state": "relaxed",
  "e_form_raw_ev_per_atom": -1.1854,
  "e_tot_ha_per_atom": -0.1949,
  "lattice_angstrom": [[5.863, 0.000, 0.000], [-0.944, 6.215, 0.000], [-1.655, -1.392, 6.349]],
  "species": ["Mg", "Mg", "Mg", "S", "O", "O", "O", "O", "O", "O", "O", "O", "O"],
  "fractional_positions": [[0.000, 0.000, 0.000], [0.130, 0.609, 0.186], [0.481, 0.688, 0.974], [0.508, 0.914, 0.606], [0.128, 0.300, 0.909], [0.224, 0.816, 0.025], [0.335, 0.704, 0.486], [0.363, 0.403, 0.053], [0.663, 0.841, 0.798], [0.688, 0.991, 0.482], [0.821, 0.786, 0.186], [0.841, 0.797, 0.397], [0.950, 0.306, 0.043]]
}



8.
{
  "formula": "LiNpRh2",
  "functional": "GGA-PBE",
  "state": "relaxed",
  "formation_enthalpy_0k_kj_per_mol_fu": -108,
  "e_tot_ha_per_atom": -0.2818,
  "lattice_angstrom": [[3.303, 0.000, 0.000], [0.000, 3.303, 0.000], [0.000, 0.000, 6.023]],
  "species": ["Li", "Np", "Rh", "Rh"],
  "fractional_positions": [[0.000, 0.000, 0.000], [0.000, 0.000, 0.500], [0.500, 0.500, 0.238], [0.500, 0.500, 0.762]]
}